GaSnRu2 | the Alexandria database | PBEsol | relaxed; total moment = 0.000 μB per formula unit; total energy = -28.8 eV per formula unit; space group = Fm-3m, No. 225; crystal system = cubic; ΔE_f = -204 meV per atom
1.0
0.000 3.090 3.090
3.090 0.000 3.090
3.090 3.090 0.000
Ga Sn Ru
1 1 2
Cartesian
0.000 0.000 0.000
3.090 3.090 3.090
1.545 1.545 1.545
4.635 4.635 4.635



TbGa3Ru | the Alexandria database | PBEsol | relaxed; total moment = 0.000 μB per formula unit; total energy = -28.3 eV per formula unit; space group = Pm-3m, No. 221; crystal system = cubic; ΔE_f = -617 meV per atom
1.0
6.342 0.000 0.000
0.000 6.342 0.000
0.000 0.000 6.342
Tb Ga Ru
3 9 3
Cartesian
0.000 0.000 3.171
0.000 3.171 0.000
3.171 0.000 0.000
0.000 0.000 0.000
1.839 1.839 1.839
1.839 1.839 4.503
1.839 4.503 1.839
1.839 4.503 4.503
4.503 1.839 1.839
4.503 1.839 4.503
4.503 4.503 1.839
4.503 4.503 4.503
0.000 3.171 3.171
3.171 0.000 3.171
3.171 3.171 0.000



Ti2Ga2Ru | the Alexandria database | PBEsol | relaxed; total moment = 0.000 μB per formula unit; total energy = -36.0 eV per formula unit; space group = P4/mbm, No. 127; crystal system = tetragonal; ΔE_f = -503 meV per atom
1.0
6.550 0.000 0.000
0.000 6.550 0.000
0.000 0.000 3.437
Ti Ga Ru
4 4 2
Cartesian
1.116 2.159 0.000
2.159 5.434 0.000
4.391 1.116 0.000
5.434 4.391 0.000
0.869 4.144 1.718
2.406 0.869 1.718
4.144 5.681 1.718
5.681 2.406 1.718
0.000 0.000 1.718
3.275 3.275 1.718



Tl3GaRu | the Alexandria database | PBEsol | relaxed; total moment = 0.000 μB per formula unit; total energy = -19.2 eV per formula unit; space group = Pm-3m, No. 221; crystal system = cubic; ΔE_f = 436 meV per atom
1.0
5.182 0.000 0.000
0.000 5.182 0.000
0.000 0.000 5.182
Tl Ga Ru
3 1 1
Cartesian
0.000 0.000 2.591
0.000 2.591 0.000
2.591 0.000 0.000
2.591 2.591 2.591
0.000 0.000 0.000



YTl2GaRu | the Alexandria database | PBEsol | relaxed; total moment = 0.001 μB per formula unit; total energy = -24.6 eV per formula unit; space group = P4/mmm, No. 123; crystal system = tetragonal; ΔE_f = 207 meV per atom
1.0
5.204 0.000 0.000
0.000 5.204 0.000
0.000 0.000 5.063
Y Tl Ga Ru
1 2 1 1
Cartesian
0.000 0.000 0.000
0.000 2.602 2.532
2.602 0.000 2.532
2.602 2.602 0.000
0.000 0.000 2.532



Tm2Ga9Ru3 | the Alexandria database | PBEsol | relaxed; total moment = 0.000 μB per formula unit; total energy = -78.2 eV per formula unit; space group = Cmcm, No. 63; crystal system = orthorhombic; ΔE_f = -557 meV per atom
1.0
6.307 -3.731 0.000
6.307 3.731 0.000
0.000 0.000 9.513
Tm Ga Ru
4 18 6
Cartesian
4.283 2.522 7.135
8.331 2.522 7.135
4.283 -2.522 2.378
8.331 -2.522 2.378
4.231 2.427 0.754
4.231 2.427 4.003
6.307 2.734 2.378
6.307 1.214 5.358
6.307 1.214 8.912
8.383 2.427 0.754
8.383 2.427 4.003
4.939 0.375 2.378
4.939 -0.375 7.135
7.675 0.375 2.378
7.675 -0.375 7.135
4.231 -2.427 5.510
4.231 -2.427 8.759
6.307 -1.214 0.601
6.307 -1.214 4.155
6.307 -2.734 7.135
8.383 -2.427 5.510
8.383 -2.427 8.759
0.000 0.000 0.000
0.000 0.000 4.757
4.072 0.000 0.000
4.072 0.000 4.757
8.543 0.000 0.000
8.543 0.000 4.757



Tm2GaRu | the Alexandria database | PBEsol | relaxed; total moment = 0.000 μB per formula unit; total energy = -25.3 eV per formula unit; space group = Fm-3m, No. 225; crystal system = cubic; ΔE_f = -489 meV per atom
1.0
0.000 3.384 3.384
3.384 0.000 3.384
3.384 3.384 0.000
Tm Ga Ru
2 1 1
Cartesian
1.692 1.692 1.692
5.076 5.076 5.076
0.000 0.000 0.000
3.384 3.384 3.384



TmGa3Ru | the Alexandria database | PBEsol | relaxed; total moment = 0.000 μB per formula unit; total energy = -28.2 eV per formula unit; space group = Pm-3m, No. 221; crystal system = cubic; ΔE_f = -613 meV per atom
1.0
6.289 0.000 0.000
0.000 6.289 0.000
0.000 0.000 6.289
Tm Ga Ru
3 9 3
Cartesian
0.000 0.000 3.145
0.000 3.145 0.000
3.145 0.000 0.000
0.000 0.000 0.000
1.808 1.808 1.808
1.808 1.808 4.481
1.808 4.481 1.808
1.808 4.481 4.481
4.481 1.808 1.808
4.481 1.808 4.481
4.481 4.481 1.808
4.481 4.481 4.481
0.000 3.145 3.145
3.145 0.000 3.145
3.145 3.145 0.000



no.,theoretical density (Mg/m³)
1,11.0
2,9.2
3,7.6
4,9.4
5,8.1
6,9.4
7,10.9
8,9.6